! AcPAu3 | the Alexandria database | PBE-GGA | optimized geometry; values from VASP
&SYSTEM
  ibrav = 0, nat = 5, ntyp = 3
/
ATOMIC_SPECIES
Ac 227.00 Ac.upf
P 30.97 P.upf
Au 196.97 Au.upf
ATOMIC_POSITIONS crystal
Ac 0.500 0.500 0.500
P 0.000 0.000 0.000
Au 0.000 0.500 0.000
Au 0.000 0.000 0.500
Au 0.500 0.000 0.000
CELL_PARAMETERS angstrom
4.916 0.000 0.000
0.000 4.916 0.000
0.000 0.000 4.916
! **Formation energy from the elements**: -1.73 eV/f.u.
! **Symmetry**: No. 221
! **Energy**: -4.22 eV per atom



! Tl2Ir2O7 | the Alexandria database | PBE-GGA | optimized geometry; values from VASP
&SYSTEM
  ibrav = 0, nat = 22, ntyp = 3
/
ATOMIC_SPECIES
Tl 204.38 Tl.upf
O 16.00 O.upf
Ir 192.22 Ir.upf
ATOMIC_POSITIONS crystal
Tl 0.625 0.125 0.625
Tl 0.125 0.625 0.625
Tl 0.625 0.625 0.625
Tl 0.625 0.625 0.125
O 0.200 0.800 0.200
O 0.450 0.050 0.050
O 0.450 0.050 0.450
O 0.050 0.450 0.050
O 0.450 0.450 0.050
O 0.050 0.050 0.450
O 0.200 0.200 0.800
O 0.500 0.500 0.500
O 0.800 0.200 0.200
O 0.750 0.750 0.750
O 0.200 0.800 0.800
O 0.050 0.450 0.450
O 0.800 0.800 0.200
O 0.800 0.200 0.800
Ir 0.625 0.125 0.125
Ir 0.125 0.125 0.625
Ir 0.125 0.125 0.125
Ir 0.125 0.625 0.125
CELL_PARAMETERS angstrom
-2.209 -2.018 6.694
4.703 -3.259 4.586
2.446 3.592 5.906
! **ΔE_f (raw)**: -793 meV per atom
! **Relative energy among the computed polymorphs**: 0 meV per atom
! **Symmetry**: No. 227
! **Energy**: -5.99 eV per atom



! CaFe2N2 | the Alexandria database | PBE-GGA | optimized geometry; values from VASP
&SYSTEM
  ibrav = 0, nat = 5, ntyp = 3
/
ATOMIC_SPECIES
N 14.01 N.upf
Ca 40.08 Ca.upf
Fe 55.84 Fe.upf
ATOMIC_POSITIONS crystal
N 0.250 0.750 0.500
N 0.750 0.250 0.500
Ca 0.000 0.000 0.000
Fe 0.297 0.297 0.405
Fe 0.703 0.703 0.595
CELL_PARAMETERS angstrom
-0.304 3.755 -0.074
-0.880 0.001 3.664
3.771 2.252 2.842
! **ΔE_f (raw)**: -34 meV per atom
! **Symmetry**: No. 139
! **Energy**: -7.15 eV per atom



! CaPr6Sm3Dy2 | the Alexandria database | PBE-GGA | optimized geometry; values from VASP
&SYSTEM
  ibrav = 0, nat = 12, ntyp = 4
/
ATOMIC_SPECIES
Dy 162.50 Dy.upf
Pr 140.91 Pr.upf
Sm 150.36 Sm.upf
Ca 40.08 Ca.upf
ATOMIC_POSITIONS crystal
Dy 0.333 0.667 0.000
Dy 0.667 0.333 0.000
Pr 0.743 0.743 0.251
Pr 0.425 0.084 0.250
Pr 0.916 0.575 0.750
Pr 0.575 0.916 0.750
Pr 0.257 0.257 0.749
Pr 0.084 0.425 0.250
Sm 0.833 0.167 0.500
Sm 0.167 0.833 0.500
Sm 0.500 0.500 0.500
Ca 0.000 0.000 0.000
CELL_PARAMETERS angstrom
-5.624 2.867 -0.985
1.598 -5.160 -3.413
-3.660 -6.217 9.668
! **Formation energy from the elements**: 0.36 eV/f.u.
! **Symmetry**: No. 12
! **Energy**: -4.47 eV per atom